Compound: Li7Co5O12
Source: Alexandria
Functional: PBE with a Hubbard U
Structure: optimized geometry

Computed properties:
- Energy: -5.5505 eV/atom
- Total magnetization: 0.084 μB/atom
- SG: P-1 (2)
- Energy relative to the lowest polymorph listed for this composition: 9.4 meV per atom

Cell: 5.680 5.732 6.416 Å, 104.09 102.80 90.06°
Sites, in units of the cell vectors:
Li (0.000, 0.000, 0.000)
Li (0.000, 0.500, 0.000)
Li (0.163, 0.166, 0.672)
Li (0.326, 0.834, 0.325)
Li (0.500, 0.500, 0.000)
Li (0.674, 0.166, 0.675)
Li (0.837, 0.834, 0.328)
Co (0.166, 0.671, 0.667)
Co (0.329, 0.328, 0.331)
Co (0.500, 0.000, 0.000)
Co (0.671, 0.672, 0.669)
Co (0.834, 0.329, 0.333)
O (0.086, 0.111, 0.339)
O (0.086, 0.562, 0.344)
O (0.262, 0.762, 0.982)
O (0.271, 0.239, 0.018)
O (0.414, 0.438, 0.648)
O (0.422, 0.903, 0.682)
O (0.578, 0.097, 0.318)
O (0.586, 0.562, 0.352)
O (0.729, 0.761, 0.982)
O (0.738, 0.238, 0.018)
O (0.914, 0.438, 0.656)
O (0.914, 0.889, 0.661)